No. 1
First-principles (PBE-GGA) data for a relaxed Rb2BiPbO4 crystal, as listed in Alexandria via LeMat-Bulk.

Lattice parameters (Å, degrees): 6.3102 6.3095 6.6865 118.25 118.25 89.91
Last column: nearest neighbours and their distance in Å.
Positions (direct):
O: 0.7034 0.6053 0.7270  1 Bi 2.20, 1 Pb 2.30
O: 0.3499 0.7683 0.2158  1 Bi 2.20, 1 Pb 2.30
O: 0.8665 0.4483 0.2167  1 Bi 2.20, 1 Pb 2.30
O: 0.0234 0.1214 0.7261  1 Bi 2.20, 1 Pb 2.30
Rb: 0.2361 0.2361 0.4724  4 O 2.92
Rb: 0.4861 0.9861 0.9725  4 O 2.95-2.96
Bi: 0.9858 0.4858 0.9718  4 O 2.20
Pb: 0.7358 0.7357 0.4718  4 O 2.30

Total energy   -4.85 eV/atom
Formation energy (no corrections)   -910 kJ/mol of formula units
Total moment   0.000 μB per formula unit

=====

No. 2
First-principles (PBE-GGA) data for a relaxed Rb2BiPbO5 crystal, as listed in Alexandria via LeMat-Bulk.

Lattice parameters (Å, degrees): 3.6469 7.2590 14.1490 90.00 90.00 104.55
Last column: nearest neighbours and their distance in Å.
Positions (direct):
O: 0.7289 0.4578 0.1269  2 Pb 2.28
O: 0.6868 0.3736 0.9287  1 Bi 2.28, 2 Pb 2.39
O: 0.2711 0.5422 0.6269  2 Pb 2.28
O: 0.3132 0.6264 0.4287  1 Bi 2.28, 2 Pb 2.39
O: 0.0611 0.1222 0.0243  2 Bi 2.20, 1 Pb 2.37
O: 0.3818 0.7637 0.0034  1 Pb 2.17, 1 Bi 2.18
O: 0.4916 0.9831 0.8040  1 Bi 2.05
O: 0.9389 0.8778 0.5243  2 Bi 2.20, 1 Pb 2.37
O: 0.6182 0.2363 0.5034  1 Pb 2.17, 1 Bi 2.18
O: 0.5084 0.0169 0.3040  1 Bi 2.05
Rb: 0.8320 0.6640 0.7883  5 O 2.85-3.05
Rb: 0.9244 0.8487 0.1741  6 O 2.83-3.09
Rb: 0.0756 0.1513 0.6741  6 O 2.83-3.09
Rb: 0.1680 0.3360 0.2883  5 O 2.85-3.05
Pb: 0.2295 0.4590 0.0296  6 O 2.17-2.39
Pb: 0.7705 0.5410 0.5296  6 O 2.17-2.39
Bi: 0.4745 0.9491 0.4447  5 O 2.05-2.28
Bi: 0.5255 0.0509 0.9447  5 O 2.05-2.28

Total energy   -4.90 eV/atom
Formation energy (no corrections)   -948 kJ/mol of formula units
Total moment   0.000 μB per formula unit

=====

No. 3
First-principles (PBE-GGA) data for a relaxed Bi2RhPbO8 crystal, as listed in Alexandria via LeMat-Bulk.

Lattice parameters (Å, degrees): 5.0264 4.9477 6.8332 90.00 90.00 90.04
Last column: nearest neighbours and their distance in Å.
Positions (direct):
O: 0.1522 0.7868 0.7717  1 Rh 2.03, 1 Bi 2.25, 1 Pb 2.27
O: 0.8478 0.2132 0.2283  1 Rh 2.03, 1 Bi 2.25, 1 Pb 2.27
O: 0.6847 0.7559 0.0000  1 Rh 1.99
O: 0.6641 0.7075 0.5000  2 Bi 2.21, 1 Pb 2.22
O: 0.3153 0.2441 0.0000  1 Rh 1.99
O: 0.8478 0.2132 0.7717  1 Rh 2.03, 1 Bi 2.25, 1 Pb 2.27
O: 0.3359 0.2925 0.5000  2 Bi 2.21, 1 Pb 2.22
O: 0.1522 0.7868 0.2283  1 Rh 2.03, 1 Bi 2.25, 1 Pb 2.27
Rh: 0.0000 0.0000 0.0000  6 O 1.99-2.03
Bi: 0.5000 0.5000 0.2405  6 O 2.21-2.27
Bi: 0.5000 0.5000 0.7595  6 O 2.21-2.27
Pb: 0.0000 0.0000 0.5000  6 O 2.22-2.27

Total energy   -5.73 eV/atom
Formation energy (no corrections)   -990 kJ/mol of formula units
Total moment   0.000 μB per formula unit

=====

No. 4
First-principles (PBE-GGA) data for a relaxed BiRhPb2O6 crystal, as listed in Alexandria via LeMat-Bulk.

Lattice parameters (Å, degrees): 5.9031 5.9099 8.3622 90.00 89.80 90.00
Last column: nearest neighbours and their distance in Å.
Positions (direct):
O: 0.7278 0.3155 0.9357  1 Rh 2.02
O: 0.1646 0.2069 0.0448  1 Rh 2.02
O: 0.6646 0.2931 0.5448  1 Rh 2.02
O: 0.3354 0.7069 0.4552  1 Rh 2.02
O: 0.8354 0.7931 0.9552  1 Rh 2.02
O: 0.6098 0.0321 0.2711  1 Rh 2.03
O: 0.2278 0.1845 0.4357  1 Rh 2.02
O: 0.1098 0.4679 0.7711  1 Rh 2.03
O: 0.7722 0.8155 0.5643  1 Rh 2.02
O: 0.8902 0.5321 0.2289  1 Rh 2.03
O: 0.2722 0.6845 0.0643  1 Rh 2.02
O: 0.3902 0.9679 0.7289  1 Rh 2.03
Pb: 0.9917 0.0449 0.7585  5 O 2.40-2.68
Pb: 0.0083 0.9551 0.2415  5 O 2.40-2.68
Pb: 0.4917 0.4551 0.2585  5 O 2.40-2.68
Pb: 0.5083 0.5449 0.7415  5 O 2.40-2.68
Bi: 0.0000 0.5000 0.5000  6 O 2.36-2.37
Bi: 0.5000 0.0000 0.0000  6 O 2.36-2.37
Rh: 0.0000 0.5000 0.0000  6 O 2.02-2.03
Rh: 0.5000 0.0000 0.5000  6 O 2.02-2.03

Total energy   -5.78 eV/atom
Formation energy (no corrections)   -904 kJ/mol of formula units
Total moment   0.000 μB per formula unit